LaTb5HoTm2 | Alexandria | GGA-PBE | optimized geometry; crystal system = orthorhombic; space-group type = No. 36; N(E_F) = 29.72 states/eV/cell; energy relative to the elements = 166 meV/atom
1.0
5.618 0.000 0.000
-2.809 9.947 0.000
0.000 0.000 10.508
La Tb Ho Tm
2 10 2 4
direct
0.583 0.166 0.949 La
0.417 0.834 0.449 La
0.386 0.772 0.024 Tb
0.720 0.439 0.815 Tb
0.479 0.958 0.737 Tb
0.297 0.595 0.709 Tb
0.983 0.966 0.524 Tb
0.614 0.228 0.524 Tb
0.280 0.561 0.315 Tb
0.521 0.042 0.237 Tb
0.703 0.405 0.209 Tb
0.017 0.034 0.024 Tb
0.801 0.602 0.513 Ho
0.199 0.398 0.013 Ho
0.886 0.772 0.819 Tm
0.112 0.224 0.734 Tm
0.114 0.228 0.319 Tm
0.888 0.776 0.234 Tm

LaTbHoTm3 | Alexandria | GGA-PBE | optimized geometry; crystal system = orthorhombic; space-group type = No. 63; N(E_F) = 23.90 states/eV/cell; energy relative to the elements = 117 meV/atom
1.0
5.787 0.000 0.000
-2.894 5.739 0.000
0.000 0.000 11.580
La Tb Ho Tm
2 2 2 6
direct
0.505 0.010 0.750 La
0.495 0.990 0.250 La
0.000 0.000 0.500 Tb
0.000 0.000 0.000 Tb
0.826 0.651 0.750 Ho
0.174 0.349 0.250 Ho
0.675 0.351 0.496 Tm
0.325 0.649 0.504 Tm
0.325 0.649 0.996 Tm
0.675 0.351 0.004 Tm
0.169 0.337 0.750 Tm
0.831 0.663 0.250 Tm

La5TbY2Ho | Alexandria | GGA-PBE | optimized geometry; crystal system = tetragonal; space-group type = No. 140; N(E_F) = 35.70 states/eV/cell; energy relative to the elements = 307 meV/atom
1.0
-5.144 -4.612 5.503
2.082 -7.436 -4.287
7.895 4.914 4.410
La Tb Y Ho
10 2 4 2
direct
0.937 0.437 0.289 La
0.648 0.148 0.711 La
0.063 0.563 0.711 La
0.148 0.063 0.711 La
0.563 0.648 0.711 La
0.852 0.937 0.289 La
0.437 0.352 0.289 La
0.352 0.852 0.289 La
0.500 0.500 0.000 La
0.000 0.000 0.000 La
0.250 0.750 0.500 Tb
0.750 0.250 0.500 Tb
0.120 0.380 0.000 Y
0.620 0.120 0.000 Y
0.380 0.880 0.000 Y
0.880 0.620 0.000 Y
0.250 0.250 0.500 Ho
0.750 0.750 0.500 Ho

La4Tb2Y2Ho | Alexandria | GGA-PBE | optimized geometry; crystal system = monoclinic; space-group type = No. 12; N(E_F) = 15.83 states/eV/cell; energy relative to the elements = 26 meV/atom
1.0
-1.555 -3.293 0.272
2.016 0.295 -9.416
7.985 -3.638 1.589
La Tb Y Ho
4 2 2 1
direct
0.777 0.553 0.671 La
0.223 0.447 0.329 La
0.555 0.110 0.327 La
0.445 0.890 0.673 La
0.889 0.779 0.331 Tb
0.111 0.221 0.669 Tb
0.335 0.669 0.003 Y
0.665 0.331 0.997 Y
0.000 0.000 0.000 Ho